DFT (PBE) results for an optimized crystal structure of KTiZnSe3. Values from VASP.

Properties
The space group is P2_1/m, No. 11. As for the final energy: -53.8 eV for the cell shown. The density is 4192 kg/m3. The density of states at the Fermi level comes out at 2.7 states/eV/cell. The calculation puts the uncorrected formation energy at -1027 meV/atom.

```
&SYSTEM
  ibrav = 0, nat = 12, ntyp = 4
/
ATOMIC_SPECIES
Ti 47.87 Ti.upf
Se 78.96 Se.upf
Zn 65.41 Zn.upf
K 39.10 K.upf
ATOMIC_POSITIONS crystal
Ti 0.750 0.354 0.880
Se 0.250 0.139 0.873
Se 0.250 0.777 0.455
Zn 0.250 0.087 0.610
Se 0.750 0.223 0.545
K 0.250 0.202 0.241
Se 0.250 0.533 0.840
Se 0.750 0.467 0.160
Zn 0.750 0.913 0.390
Ti 0.250 0.646 0.120
K 0.750 0.798 0.759
Se 0.750 0.861 0.127
CELL_PARAMETERS angstrom
-2.471 1.630 2.499
4.397 -3.635 6.719
3.548 8.746 -2.196
```